(1)
NbTePbO6: relaxed, PBE.

## Properties
- mass density (g cm⁻³) = 6.22
- formation energy from raw total energies (eV per atom) = -1.606
- calculated total energy (eV/atom) = -6.7916
- SG = P-31c

```
NbTePbO6
1.0
-1.6802 4.2395 -3.0551
0.8237 -4.9032 -2.3260
-10.1979 -2.6374 1.9485
Nb Te Pb O
2 2 2 12
direct
0.6667 0.3333 0.2500
0.3333 0.6667 0.7500
0.3333 0.6667 0.2500
0.6667 0.3333 0.7500
0.0000 0.0000 0.0000
0.0000 0.0000 0.5000
0.6146 0.6128 0.1446
0.9982 0.3854 0.1446
0.3854 0.9982 0.6446
0.0018 0.6146 0.8554
0.3872 0.3854 0.3554
0.9982 0.6128 0.3554
0.6128 0.9982 0.8554
0.6146 0.0018 0.3554
0.0018 0.3872 0.6446
0.3872 0.0018 0.1446
0.6128 0.6146 0.6446
0.3854 0.3872 0.8554
```



(2)
Er2ThIn2Hg2: relaxed, PBE.

## Properties
- mass density (g cm⁻³) = 10.62
- calculated total energy (eV/atom) = -3.4284
- energy of formation from the pure elements (eV per atom) = -0.1962
- SG = R-3m

```
Er2ThIn2Hg2
1.0
4.9644 0.0000 0.0000
2.4822 4.2993 0.0000
2.4822 1.4331 8.7736
Er Th In Hg
2 1 2 2
direct
0.1319 0.1319 0.6044
0.8681 0.8681 0.3956
0.0000 0.0000 0.0000
0.7323 0.7323 0.8030
0.2677 0.2677 0.1970
0.5691 0.5691 0.2928
0.4309 0.4309 0.7072
```



(3)
Y3Co2Sn4: relaxed, PBE.

## Properties
- mass density (g cm⁻³) = 6.98
- calculated total energy (eV/atom) = -6.0547
- energy of formation from the pure elements (eV per atom) = -0.5419
- SG = C2/m

```
Y3Co2Sn4
1.0
4.4508 0.0000 0.0000
-2.2254 5.6195 -0.0281
0.0000 -2.3073 8.1834
Y Co Sn
3 2 4
direct
0.6294 0.2588 0.6863
0.0000 0.0000 0.0000
0.3706 0.7412 0.3137
0.6989 0.3979 0.3877
0.3011 0.6021 0.6123
0.7027 0.4054 0.0861
0.2973 0.5946 0.9139
0.9090 0.8181 0.6093
0.0910 0.1819 0.3907
```



(4)
YHg3Bi: relaxed, PBE.

## Properties
- mass density (g cm⁻³) = 7.99
- calculated total energy (eV/atom) = -1.8148
- energy of formation from the pure elements (eV per atom) = 0.4353
- SG = Pm-3m
- offset from the most stable computed form (kJ/mol of atoms) = 0.0

```
YHg3Bi
1.0
5.7171 0.0000 0.0000
0.0000 5.7171 0.0000
0.0000 0.0000 5.7171
Y Bi Hg
1 1 3
direct
0.0000 0.0000 0.0000
0.5000 0.5000 0.5000
0.0000 0.5000 0.0000
0.0000 0.0000 0.5000
0.5000 0.0000 0.0000
```



(5)
GdErLuIn: relaxed, PBE.

## Properties
- mass density (g cm⁻³) = 9.12
- calculated total energy (eV/atom) = -6.6307
- energy of formation from the pure elements (eV per atom) = -0.1549
- SG = F-43m

```
GdErLuIn
1.0
-1.9628 -4.9231 -1.0805
1.4881 -4.2290 3.0263
-3.5517 -2.2956 3.3724
Gd Lu In Er
1 1 1 1
direct
0.0000 0.0000 0.0000
0.7500 0.7500 0.7500
0.2500 0.2500 0.2500
0.5000 0.5000 0.5000
```



(6)
BeAl3P: relaxed, PBE.

## Properties
- mass density (g cm⁻³) = 2.48
- calculated total energy (eV/atom) = -3.7140
- energy of formation from the pure elements (eV per atom) = 0.3588
- SG = Pm-3m
- offset from the most stable computed form (kJ/mol of atoms) = 0.0

```
BeAl3P
1.0
4.3245 0.0000 0.0000
0.0000 4.3245 0.0000
0.0000 0.0000 4.3245
P Al Be
1 3 1
direct
0.5000 0.5000 0.5000
0.0000 0.5000 0.0000
0.0000 0.0000 0.5000
0.5000 0.0000 0.0000
0.0000 0.0000 0.0000
```



(7)
PmHg2Pd6: relaxed, PBE.

## Properties
- mass density (g cm⁻³) = 11.09
- calculated total energy (eV/atom) = -4.2153
- energy of formation from the pure elements (eV per atom) = -0.1585
- SG = Immm

```
PmHg2Pd6
1.0
-4.4543 0.1128 -0.9787
-2.9660 -6.7982 2.0836
-3.7517 -2.7954 6.1208
Pm Hg Pd
1 2 6
direct
0.5000 0.5000 0.5000
0.3782 0.1218 0.1218
0.6218 0.8782 0.8782
0.1964 0.5542 0.0531
0.8036 0.4458 0.9469
0.8036 0.9469 0.4458
0.0000 0.2286 0.7714
0.0000 0.7714 0.2286
0.1964 0.0531 0.5542
```



(8)
LiSe2O2F6: relaxed, PBE.

## Properties
- mass density (g cm⁻³) = 3.13
- formation energy from raw total energies (eV per atom) = -1.446
- calculated total energy (eV/atom) = -4.1755
- SG = P-3

```
LiSe2O2F6
1.0
-0.6459 2.8580 5.6074
-5.0988 -2.1823 -3.0443
0.4847 -4.1880 2.1904
Li Se O F
1 2 2 6
direct
0.0000 0.0000 0.0000
0.3333 0.6667 0.7031
0.6667 0.3333 0.2969
0.3333 0.6667 0.3646
0.6667 0.3333 0.6354
0.1625 0.3224 0.7650
0.1599 0.8375 0.7650
0.6776 0.8401 0.7650
0.8375 0.6776 0.2350
0.8401 0.1625 0.2350
0.3224 0.1599 0.2350
```



(9)
NbFeTeAuS: relaxed, PBE.

## Properties
- mass density (g cm⁻³) = 8.97
- formation energy from raw total energies (eV per atom) = -0.145
- calculated total energy (eV/atom) = -5.9609
- SG = Cm
- offset from the most stable computed form (kJ/mol of atoms) = 8.5

```
NbFeTeAuS
1.0
4.6340 0.0000 0.0070
0.0000 3.2815 0.0000
-3.4730 0.0000 12.2998
S Nb Te Au Fe
2 2 2 2 2
direct
0.3255 0.0000 0.5257
0.3255 0.5000 0.0257
0.0576 0.0000 0.8798
0.0576 0.5000 0.3798
0.9312 0.0000 0.1868
0.9312 0.5000 0.6868
0.5283 0.0000 0.3157
0.5283 0.5000 0.8157
0.6107 0.0000 0.9884
0.6107 0.5000 0.4884
```



(10)
HfMg6GaO8: relaxed, PBE.

## Properties
- mass density (g cm⁻³) = 5.01
- formation energy from raw total energies (eV per atom) = -2.286
- calculated total energy (eV/atom) = -6.1744
- SG = P4/mmm
- offset from the most stable computed form (kJ/mol of atoms) = 0.0

```
HfMg6GaO8
1.0
-2.3578 -1.1848 3.4988
2.8672 -3.2040 0.8473
4.7874 5.6427 5.1369
Hf Mg Ga O
1 6 1 8
direct
0.5000 0.5000 0.0000
0.0000 0.0000 0.5000
0.5000 0.5000 0.5000
0.0000 0.5000 0.2640
0.0000 0.5000 0.7360
0.5000 0.0000 0.2640
0.5000 0.0000 0.7360
0.0000 0.0000 0.0000
0.0000 0.0000 0.2768
0.0000 0.0000 0.7232
0.5000 0.5000 0.2539
0.5000 0.5000 0.7461
0.0000 0.5000 0.0000
0.0000 0.5000 0.5000
0.5000 0.0000 0.0000
0.5000 0.0000 0.5000
```



(11)
SrLiCdSn2: relaxed, PBE.

## Properties
- mass density (g cm⁻³) = 5.41
- calculated total energy (eV/atom) = -2.9592
- energy of formation from the pure elements (eV per atom) = -0.4559
- SG = I-4m2

```
SrLiCdSn2
1.0
4.6897 0.0000 0.0000
0.0000 4.6897 0.0000
-2.3449 -2.3449 6.2048
Sr Li Cd Sn
1 1 1 2
direct
0.0000 0.0000 0.0000
0.7500 0.2500 0.5000
0.2500 0.7500 0.5000
0.6147 0.6147 0.2293
0.3853 0.3853 0.7707
```



(12)
Pm2HoErTl2: relaxed, PBE.

## Properties
- mass density (g cm⁻³) = 9.63
- calculated total energy (eV/atom) = -4.1630
- energy of formation from the pure elements (eV per atom) = -0.2673
- SG = Pmc2_1

```
Pm2HoErTl2
1.0
-4.8012 -1.6520 -0.7479
0.7510 -4.4901 5.0971
-3.4043 6.9106 6.5893
Pm Ho Er Tl
4 2 2 4
direct
0.5000 0.0558 0.0417
0.0000 0.3283 0.1876
0.5000 0.5558 0.9583
0.0000 0.8283 0.8124
0.0000 0.9626 0.4596
0.0000 0.4626 0.5404
0.5000 0.1816 0.6837
0.5000 0.6816 0.3163
0.0000 0.2994 0.8557
0.5000 0.2178 0.3736
0.0000 0.7994 0.1443
0.5000 0.7178 0.6264
```



(13)
BIrN2: relaxed, PBE.

## Properties
- mass density (g cm⁻³) = 10.97
- formation energy from raw total energies (eV per atom) = 0.026
- calculated total energy (eV/atom) = -8.0213
- SG = I-42d

```
BIrN2
1.0
4.3070 0.0000 0.0000
0.0000 4.3070 0.0000
2.1535 2.1535 3.7696
B Ir N
2 2 4
direct
0.5000 0.5000 0.0000
0.2500 0.7500 0.5000
0.0000 0.0000 0.0000
0.7500 0.2500 0.5000
0.5323 0.1250 0.2500
0.2177 0.6250 0.2500
0.3750 0.4677 0.7500
0.8750 0.7823 0.7500
```



(14)
Li2Tl2Ag: relaxed, PBE.

## Properties
- mass density (g cm⁻³) = 8.49
- calculated total energy (eV/atom) = -2.3711
- energy of formation from the pure elements (eV per atom) = -0.0888
- SG = P4/mbm
- offset from the most stable computed form (kJ/mol of atoms) = 3.6

```
Li2Tl2Ag
1.0
7.8832 0.0000 0.0000
0.0000 7.8832 0.0000
0.0000 0.0000 3.3385
Tl Ag Li
4 2 4
direct
0.3545 0.8545 0.0000
0.8545 0.6455 0.0000
0.6455 0.1455 0.0000
0.1455 0.3545 0.0000
0.0000 0.0000 0.0000
0.5000 0.5000 0.0000
0.1564 0.6564 0.5000
0.6564 0.8436 0.5000
0.8436 0.3436 0.5000
0.3436 0.1564 0.5000
```



(15)
CaRe2Ni: relaxed, PBE.

## Properties
- mass density (g cm⁻³) = 12.38
- calculated total energy (eV/atom) = -7.6707
- energy of formation from the pure elements (eV per atom) = 0.4991
- SG = F-43m
- offset from the most stable computed form (kJ/mol of atoms) = 22.4

```
CaRe2Ni
1.0
-1.3801 4.2116 0.5897
-1.4762 2.3777 -3.4868
-4.3444 0.9982 -0.3467
Re Ca Ni
2 1 1
direct
0.0000 0.0000 0.0000
0.2500 0.2500 0.2500
0.5000 0.5000 0.5000
0.7500 0.7500 0.7500
```



(16)
MnCo2Mo: relaxed, PBE.

## Properties
- mass density (g cm⁻³) = 8.55
- calculated total energy (eV/atom) = -7.9792
- energy of formation from the pure elements (eV per atom) = 0.5739
- SG = I-42d
- offset from the most stable computed form (kJ/mol of atoms) = 56.1

```
MnCo2Mo
1.0
-0.0240 -2.2756 2.6778
-2.3354 -1.9906 -1.7126
5.1356 -6.4413 -3.1218
Mo Mn Co
2 2 4
direct
0.0000 0.0000 0.0000
0.7500 0.2500 0.5000
0.5000 0.5000 0.0000
0.2500 0.7500 0.5000
0.5990 0.1250 0.2500
0.1510 0.6250 0.2500
0.3750 0.4010 0.7500
0.8750 0.8490 0.7500
```



(17)
RbYUS4: relaxed, PBE.

## Properties
- mass density (g cm⁻³) = 4.19
- formation energy from raw total energies (eV per atom) = -1.581
- calculated total energy (eV/atom) = -6.6139
- SG = Imma

```
RbYUS4
1.0
-5.4081 2.3857 -6.1203
7.8301 -2.4561 -1.9619
-5.7179 -5.6650 2.8443
Rb Y U S
2 2 2 8
direct
0.8752 0.7504 0.1252
0.1248 0.2496 0.8748
0.5000 0.0000 0.5000
0.5000 0.0000 0.0000
0.5000 0.5000 0.5000
0.0000 0.5000 0.5000
0.7337 0.4673 0.6847
0.3154 0.0459 0.2729
0.7305 0.0459 0.2729
0.7337 0.4673 0.2826
0.2663 0.5327 0.7174
0.6846 0.9541 0.7271
0.2695 0.9541 0.7271
0.2663 0.5327 0.3153
```



(18)
YbHoHg2: relaxed, PBE.

## Properties
- mass density (g cm⁻³) = 11.96
- calculated total energy (eV/atom) = -2.2483
- energy of formation from the pure elements (eV per atom) = -0.5715
- SG = Fm-3m

```
YbHoHg2
1.0
5.2555 0.0000 0.0000
2.6278 4.5514 0.0000
2.6278 1.5171 4.2911
Yb Hg Ho
1 2 1
direct
0.2500 0.2500 0.2500
0.0000 0.0000 0.0000
0.5000 0.5000 0.5000
0.7500 0.7500 0.7500
```



(19)
YHfC3: relaxed, PBE.

## Properties
- mass density (g cm⁻³) = 6.58
- calculated total energy (eV/atom) = -6.7260
- energy of formation from the pure elements (eV per atom) = 2.0918
- SG = Pm-3m
- offset from the most stable computed form (kJ/mol of atoms) = 113.6

```
YHfC3
1.0
4.2457 0.0000 0.0000
0.0000 4.2457 0.0000
0.0000 0.0000 4.2457
Y C Hf
1 3 1
direct
0.0000 0.0000 0.0000
0.0000 0.5000 0.0000
0.0000 0.0000 0.5000
0.5000 0.0000 0.0000
0.5000 0.5000 0.5000
```



(20)
AlTc2Hg: relaxed, PBE.

## Properties
- mass density (g cm⁻³) = 11.02
- calculated total energy (eV/atom) = -5.8218
- energy of formation from the pure elements (eV per atom) = 0.3723
- SG = P4/mmm
- offset from the most stable computed form (kJ/mol of atoms) = 34.2

```
AlTc2Hg
1.0
-3.1832 2.4458 -1.2202
0.7679 -0.8598 -3.7268
-2.4225 -3.0508 0.2047
Al Hg Tc
1 1 2
direct
0.5000 0.5000 0.0000
0.5000 0.0000 0.5000
0.0000 0.0000 0.0000
0.0000 0.5000 0.5000
```